# PBE-GGA Al2TlInNi, relaxed
data_Al2TlInNi
_cell_length_a 4.799
_cell_length_b 4.799
_cell_length_c 5.465
_cell_angle_alpha 90.00
_cell_angle_beta 90.00
_cell_angle_gamma 90.00
_space_group_name_H-M_alt 'P 1'
_space_group_IT_number 1
_space_group_name_Hall 'P 1'
loop_
_atom_site_label
_atom_site_fract_x
_atom_site_fract_y
_atom_site_fract_z
Al1 0.500 0.000 0.000
Ni1 0.500 0.500 0.500
In1 0.000 0.000 0.000
Tl1 0.000 0.000 0.500
Al2 0.000 0.500 0.000
# - Uncorrected energy: -11.9 eV for the cell shown
# - Density of states at the Fermi level: 3.07 states/eV per cell
# - E_form: 1.30 eV/atom
# - Space group: P4/mmm
# - Crystal system: tetragonal